! PBE-GGA Cs2LiSbSe4, optimized geometry; values from VASP
&SYSTEM
  ibrav = 0, nat = 16, ntyp = 4
/
ATOMIC_SPECIES
Cs 132.91 Cs.upf
Li 6.94 Li.upf
Sb 121.76 Sb.upf
Se 78.96 Se.upf
ATOMIC_POSITIONS crystal
Cs 0.0549 0.0549 0.6951
Cs 0.3049 0.3049 0.9451
Cs 0.6951 0.6951 0.0549
Cs 0.9451 0.9451 0.3049
Li 0.1250 0.1250 0.1250
Li 0.8750 0.8750 0.8750
Sb 0.3750 0.3750 0.3750
Sb 0.6250 0.6250 0.6250
Se 0.0110 0.3442 0.4365
Se 0.2917 0.5635 0.6558
Se 0.3442 0.0110 0.7083
Se 0.4365 0.7083 0.0110
Se 0.5635 0.2917 0.9890
Se 0.6558 0.9890 0.2917
Se 0.7083 0.4365 0.3442
Se 0.9890 0.6558 0.5635
CELL_PARAMETERS angstrom
0.0000 7.4332 13.1221
3.1759 0.0000 13.1221
3.1759 7.4332 0.0000
! size of the total moment	0.000	μB/atom
! formation energy without anion corrections	-851	meV/atom
! DFT total energy	-0.1309	hartree per atom



! PBE-GGA GeRh, optimized geometry; values from VASP
&SYSTEM
  ibrav = 0, nat = 2, ntyp = 2
/
ATOMIC_SPECIES
Ge 72.64 Ge.upf
Rh 102.91 Rh.upf
ATOMIC_POSITIONS crystal
Ge 0.0000 0.0000 0.0000
Rh 0.5000 0.5000 0.5000
CELL_PARAMETERS angstrom
0.0000 2.5304 2.5304
2.5304 0.0000 2.5304
2.5304 2.5304 0.0000
! DOS at the Fermi energy	1.06	states/eV/cell
! size of the total moment	0.000	μB/atom
! energy of formation	-0.14	eV/atom
! DFT total energy	-0.2250	hartree per atom



! PBE-GGA K2AcF5, optimized geometry; values from VASP
&SYSTEM
  ibrav = 0, nat = 32, ntyp = 3
/
ATOMIC_SPECIES
K 39.10 K.upf
Ac 227.00 Ac.upf
F 19.00 F.upf
ATOMIC_POSITIONS crystal
K 0.1717 0.0038 0.0211
K 0.1717 0.4962 0.0211
K 0.3283 0.5038 0.5211
K 0.3283 0.9962 0.5211
K 0.6717 0.0038 0.4789
K 0.6717 0.4962 0.4789
K 0.8283 0.5038 0.9789
K 0.8283 0.9962 0.9789
Ac 0.0034 0.2500 0.5682
Ac 0.4966 0.7500 0.0682
Ac 0.5034 0.2500 0.9318
Ac 0.9966 0.7500 0.4318
F 0.0085 0.2500 0.9200
F 0.0884 0.5310 0.6473
F 0.0884 0.9690 0.6473
F 0.1750 0.2500 0.3521
F 0.2062 0.7500 0.3212
F 0.2938 0.2500 0.8212
F 0.3250 0.7500 0.8521
F 0.4116 0.0310 0.1473
F 0.4116 0.4690 0.1473
F 0.4915 0.7500 0.4200
F 0.5085 0.2500 0.5800
F 0.5884 0.5310 0.8527
F 0.5884 0.9690 0.8527
F 0.6750 0.2500 0.1479
F 0.7062 0.7500 0.1788
F 0.7938 0.2500 0.6788
F 0.8250 0.7500 0.6479
F 0.9116 0.0310 0.3527
F 0.9116 0.4690 0.3527
F 0.9915 0.7500 0.0799
CELL_PARAMETERS angstrom
11.1533 0.0000 0.0000
0.0000 7.9699 0.0000
0.0000 0.0000 6.8772
! DOS at the Fermi energy	0.00	states/eV/cell
! size of the total moment	0.007	μB/atom
! formation energy without anion corrections	-3480	meV/atom
! DFT total energy	-0.1998	hartree per atom



! PBE-GGA Li3DyPu2Te6, optimized geometry; values from VASP
&SYSTEM
  ibrav = 0, nat = 12, ntyp = 4
/
ATOMIC_SPECIES
Li 6.94 Li.upf
Dy 162.50 Dy.upf
Pu 244.00 Pu.upf
Te 127.60 Te.upf
ATOMIC_POSITIONS crystal
Li 0.0000 0.0000 0.0000
Li 0.3340 0.6660 0.0000
Li 0.6660 0.3340 0.0000
Dy 0.5000 0.5000 0.5000
Pu 0.1668 0.8332 0.5000
Pu 0.8332 0.1668 0.5000
Te 0.0836 0.4142 0.2428
Te 0.2549 0.2549 0.7570
Te 0.4142 0.0836 0.2428
Te 0.5858 0.9164 0.7572
Te 0.7451 0.7451 0.2430
Te 0.9164 0.5858 0.7572
CELL_PARAMETERS angstrom
3.7948 -6.5712 0.0000
3.7948 6.5712 0.0000
-2.5259 0.0000 7.0211
! DOS at the Fermi energy	26.43	states/eV/cell
! size of the total moment	0.833	μB/atom
! formation energy without anion corrections	-1098	meV/atom
! DFT total energy	-0.2176	hartree per atom



! PBE-GGA OsSe2Cl, optimized geometry; values from VASP
&SYSTEM
  ibrav = 0, nat = 4, ntyp = 3
/
ATOMIC_SPECIES
Os 190.23 Os.upf
Se 78.96 Se.upf
Cl 35.45 Cl.upf
ATOMIC_POSITIONS crystal
Os 0.0000 0.0000 0.0000
Se 0.5086 0.5086 0.2945
Se 0.6433 0.6433 0.0002
Cl 0.3485 0.3485 0.7052
CELL_PARAMETERS angstrom
6.1592 -1.6492 0.0000
6.1592 1.6492 0.0000
-2.6721 0.0000 5.5217
! DOS at the Fermi energy	0.89	states/eV/cell
! size of the total moment	0.000	μB/atom
! formation energy without anion corrections	93	meV/atom
! DFT total energy	-0.1807	hartree per atom



! PBE-GGA CsRb2TiF8, optimized geometry; values from VASP
&SYSTEM
  ibrav = 0, nat = 12, ntyp = 4
/
ATOMIC_SPECIES
Cs 132.91 Cs.upf
Rb 85.47 Rb.upf
Ti 47.87 Ti.upf
F 19.00 F.upf
ATOMIC_POSITIONS crystal
Cs 0.0000 0.0000 0.0000
Rb 0.3333 0.6667 0.3458
Rb 0.6667 0.3333 0.6542
Ti 0.0000 0.0000 0.5000
F 0.1486 0.2971 0.6318
F 0.1486 0.8514 0.6318
F 0.2971 0.1486 0.3682
F 0.3333 0.6667 0.0131
F 0.6667 0.3333 0.9869
F 0.7029 0.8514 0.6318
F 0.8514 0.1486 0.3682
F 0.8514 0.7029 0.3682
CELL_PARAMETERS angstrom
5.9849 0.0000 0.0000
-2.9925 5.1831 0.0000
0.0000 0.0000 8.3318
! DOS at the Fermi energy	12.77	states/eV/cell
! size of the total moment	0.083	μB/atom
! formation energy without anion corrections	-2838	meV/atom
! DFT total energy	-0.1829	hartree per atom



! PBE-GGA LiMg2P, optimized geometry; values from VASP
&SYSTEM
  ibrav = 0, nat = 4, ntyp = 3
/
ATOMIC_SPECIES
Li 6.94 Li.upf
Mg 24.30 Mg.upf
P 30.97 P.upf
ATOMIC_POSITIONS crystal
Li 0.0000 0.0000 0.0000
Mg 0.2500 0.2500 0.2500
Mg 0.5000 0.5000 0.5000
P 0.7500 0.7500 0.7500
CELL_PARAMETERS angstrom
0.0000 3.3424 3.3424
3.3424 0.0000 3.3424
3.3424 3.3424 0.0000
! DOS at the Fermi energy	0.24	states/eV/cell
! size of the total moment	0.000	μB/atom
! energy of formation	-0.11	eV/atom
! DFT total energy	-0.1005	hartree per atom



! PBE-GGA RuPt6Rh3, optimized geometry; values from VASP
&SYSTEM
  ibrav = 0, nat = 20, ntyp = 3
/
ATOMIC_SPECIES
Ru 101.07 Ru.upf
Pt 195.08 Pt.upf
Rh 102.91 Rh.upf
ATOMIC_POSITIONS crystal
Ru 0.2330 0.2500 0.4363
Ru 0.7670 0.7500 0.5637
Pt 0.0595 0.7500 0.7483
Pt 0.1616 0.7500 0.1592
Pt 0.2654 0.7500 0.5604
Pt 0.3379 0.2500 0.8393
Pt 0.3842 0.2500 0.0484
Pt 0.4659 0.7500 0.3697
Pt 0.5341 0.2500 0.6303
Pt 0.6158 0.7500 0.9516
Pt 0.6621 0.7500 0.1607
Pt 0.7346 0.2500 0.4396
Pt 0.8384 0.2500 0.8408
Pt 0.9405 0.2500 0.2517
Rh 0.0330 0.2500 0.6266
Rh 0.1113 0.7500 0.9517
Rh 0.4365 0.2500 0.2510
Rh 0.5635 0.7500 0.7490
Rh 0.8887 0.2500 0.0483
Rh 0.9670 0.7500 0.3734
CELL_PARAMETERS angstrom
5.4683 0.0000 0.0000
0.0000 4.3060 0.0000
-1.5516 0.0000 12.9704
! DOS at the Fermi energy	37.10	states/eV/cell
! size of the total moment	0.000	μB/atom
! energy of formation	0.09	eV/atom
! DFT total energy	-0.2449	hartree per atom



! PBE-GGA BC2, optimized geometry; values from VASP
&SYSTEM
  ibrav = 0, nat = 12, ntyp = 2
/
ATOMIC_SPECIES
B 10.81 B.upf
C 12.01 C.upf
ATOMIC_POSITIONS crystal
B 0.0000 0.0000 0.0000
B 0.0024 0.0024 0.4527
B 0.0955 0.0955 0.7855
B 0.6957 0.6957 0.8240
C 0.1087 0.1087 0.2860
C 0.3389 0.3389 0.1533
C 0.3449 0.3449 0.6461
C 0.4130 0.4130 0.9418
C 0.4177 0.4177 0.4335
C 0.6841 0.6841 0.3231
C 0.7636 0.7636 0.1216
C 0.7670 0.7670 0.6040
CELL_PARAMETERS angstrom
6.0857 -1.2567 0.0000
6.0857 1.2567 0.0000
-1.0819 0.0000 4.9800
! DOS at the Fermi energy	1.51	states/eV/cell
! size of the total moment	0.000	μB/atom
! energy of formation	0.36	eV/atom
! DFT total energy	-0.2947	hartree per atom



! PBE-GGA NiMoPd, optimized geometry; values from VASP
&SYSTEM
  ibrav = 0, nat = 3, ntyp = 3
/
ATOMIC_SPECIES
Ni 58.69 Ni.upf
Mo 95.94 Mo.upf
Pd 106.42 Pd.upf
ATOMIC_POSITIONS crystal
Ni 0.0000 0.0000 0.0000
Mo 0.3458 0.3458 0.0000
Pd 0.6663 0.6663 0.0000
CELL_PARAMETERS angstrom
-1.3589 1.3589 5.6726
1.3589 -1.3589 5.6726
1.3589 1.3589 -5.6726
! DOS at the Fermi energy	4.18	states/eV/cell
! size of the total moment	0.000	μB/atom
! energy of formation	-0.03	eV/atom
! DFT total energy	-0.2684	hartree per atom



! PBE-GGA MgZr2Si, optimized geometry; values from VASP
&SYSTEM
  ibrav = 0, nat = 4, ntyp = 3
/
ATOMIC_SPECIES
Mg 24.30 Mg.upf
Zr 91.22 Zr.upf
Si 28.09 Si.upf
ATOMIC_POSITIONS crystal
Mg 0.0000 0.0000 0.0000
Zr 0.4152 0.5000 0.8299
Zr 0.7259 0.0000 0.4496
Si 0.1535 0.5000 0.3030
CELL_PARAMETERS angstrom
3.6435 0.0000 0.0000
0.0000 4.0868 0.0000
-1.8198 0.0000 5.3680
! DOS at the Fermi energy	4.18	states/eV/cell
! size of the total moment	0.000	μB/atom
! formation energy without anion corrections	-294	meV/atom
! DFT total energy	-0.2323	hartree per atom



! PBE-GGA BaTa2H, optimized geometry; values from VASP
&SYSTEM
  ibrav = 0, nat = 8, ntyp = 3
/
ATOMIC_SPECIES
Ba 137.33 Ba.upf
Ta 180.95 Ta.upf
H 1.01 H.upf
ATOMIC_POSITIONS crystal
Ba 0.1250 0.1250 0.1250
Ba 0.8750 0.8750 0.8750
Ta 0.0000 0.5000 0.5000
Ta 0.5000 0.0000 0.5000
Ta 0.5000 0.5000 0.0000
Ta 0.5000 0.5000 0.5000
H 0.3750 0.3750 0.3750
H 0.6250 0.6250 0.6250
CELL_PARAMETERS angstrom
0.0000 4.3508 4.3508
4.3508 0.0000 4.3508
4.3508 4.3508 0.0000
! DOS at the Fermi energy	11.41	states/eV/cell
! size of the total moment	0.000	μB/atom
! DFT total energy	-0.2450	hartree per atom



! PBE-GGA Ba3ThHg4, optimized geometry; values from VASP
&SYSTEM
  ibrav = 0, nat = 8, ntyp = 3
/
ATOMIC_SPECIES
Ba 137.33 Ba.upf
Th 232.04 Th.upf
Hg 200.59 Hg.upf
ATOMIC_POSITIONS crystal
Ba 0.0000 0.0000 0.0000
Ba 0.0000 0.0000 0.2603
Ba 0.0000 0.0000 0.7397
Th 0.0000 0.0000 0.5000
Hg 0.5000 0.5000 0.1299
Hg 0.5000 0.5000 0.3968
Hg 0.5000 0.5000 0.6032
Hg 0.5000 0.5000 0.8701
CELL_PARAMETERS angstrom
4.0284 0.0000 0.0000
0.0000 4.0284 0.0000
0.0000 0.0000 16.8824
! DOS at the Fermi energy	4.73	states/eV/cell
! size of the total moment	0.000	μB/atom
! energy of formation	-0.41	eV/atom
! DFT total energy	-0.0812	hartree per atom



! PBE-GGA Ac3TbPb12, optimized geometry; values from VASP
&SYSTEM
  ibrav = 0, nat = 16, ntyp = 3
/
ATOMIC_SPECIES
Ac 227.00 Ac.upf
Tb 158.93 Tb.upf
Pb 207.20 Pb.upf
ATOMIC_POSITIONS crystal
Ac 0.0000 0.0000 0.0000
Ac 0.0000 0.0000 0.2558
Ac 0.0000 0.0000 0.7442
Tb 0.0000 0.0000 0.5000
Pb 0.0000 0.5000 0.1279
Pb 0.0000 0.5000 0.3834
Pb 0.0000 0.5000 0.6166
Pb 0.0000 0.5000 0.8721
Pb 0.5000 0.0000 0.1279
Pb 0.5000 0.0000 0.3834
Pb 0.5000 0.0000 0.6166
Pb 0.5000 0.0000 0.8721
Pb 0.5000 0.5000 0.0000
Pb 0.5000 0.5000 0.2548
Pb 0.5000 0.5000 0.5000
Pb 0.5000 0.5000 0.7452
CELL_PARAMETERS angstrom
5.0433 0.0000 0.0000
0.0000 5.0433 0.0000
0.0000 0.0000 19.8902
! DOS at the Fermi energy	6.75	states/eV/cell
! size of the total moment	0.000	μB/atom
! energy of formation	-0.39	eV/atom
! DFT total energy	-0.1553	hartree per atom



! PBE-GGA Ga3PtI, optimized geometry; values from VASP
&SYSTEM
  ibrav = 0, nat = 5, ntyp = 3
/
ATOMIC_SPECIES
Ga 69.72 Ga.upf
Pt 195.08 Pt.upf
I 126.90 I.upf
ATOMIC_POSITIONS crystal
Ga 0.0000 0.0000 0.5000
Ga 0.0000 0.5000 0.0000
Ga 0.5000 0.0000 0.0000
Pt 0.0000 0.0000 0.0000
I 0.5000 0.5000 0.5000
CELL_PARAMETERS angstrom
4.9669 0.0000 0.0000
0.0000 4.9669 0.0000
0.0000 0.0000 4.9669
! DOS at the Fermi energy	0.21	states/eV/cell
! size of the total moment	0.000	μB/atom
! formation energy without anion corrections	-461	meV/atom
! DFT total energy	-0.1395	hartree per atom



! PBE-GGA Gd2DyNb, optimized geometry; values from VASP
&SYSTEM
  ibrav = 0, nat = 4, ntyp = 3
/
ATOMIC_SPECIES
Gd 157.25 Gd.upf
Dy 162.50 Dy.upf
Nb 92.91 Nb.upf
ATOMIC_POSITIONS crystal
Gd 0.0825 0.0825 0.0825
Gd 0.9175 0.9175 0.9175
Dy 0.5000 0.5000 0.5000
Nb 0.0000 0.0000 0.0000
CELL_PARAMETERS angstrom
1.6567 0.9565 11.6088
-1.6567 0.9565 11.6088
0.0000 -1.9130 11.6088
! DOS at the Fermi energy	6.31	states/eV/cell
! size of the total moment	3.559	μB/atom
! energy of formation	0.54	eV/atom
! DFT total energy	-0.3738	hartree per atom



! PBE-GGA Sr2CrAsPt, optimized geometry; values from VASP
&SYSTEM
  ibrav = 0, nat = 5, ntyp = 4
/
ATOMIC_SPECIES
Sr 87.62 Sr.upf
Cr 52.00 Cr.upf
As 74.92 As.upf
Pt 195.08 Pt.upf
ATOMIC_POSITIONS crystal
Sr 0.0000 0.5000 0.0000
Sr 0.5000 0.0000 0.0000
Cr 0.0000 0.0000 0.5000
As 0.0000 0.0000 0.0000
Pt 0.5000 0.5000 0.5000
CELL_PARAMETERS angstrom
5.8709 0.0000 0.0000
0.0000 5.8709 0.0000
0.0000 0.0000 4.6585
! DOS at the Fermi energy	1.54	states/eV/cell
! size of the total moment	0.924	μB/atom
! energy of formation	-0.09	eV/atom
! DFT total energy	-0.1772	hartree per atom



! PBE-GGA NaLi2Zn, optimized geometry; values from VASP
&SYSTEM
  ibrav = 0, nat = 4, ntyp = 3
/
ATOMIC_SPECIES
Na 22.99 Na.upf
Li 6.94 Li.upf
Zn 65.41 Zn.upf
ATOMIC_POSITIONS crystal
Na 0.0000 0.0000 0.0000
Li 0.5000 0.5000 0.3146
Li 0.5000 0.5000 0.6854
Zn 0.0000 0.0000 0.5000
CELL_PARAMETERS angstrom
3.2668 0.0000 0.0000
0.0000 3.2668 0.0000
0.0000 0.0000 7.8577
! DOS at the Fermi energy	0.87	states/eV/cell
! size of the total moment	0.000	μB/atom
! energy of formation	-0.04	eV/atom
! DFT total energy	-0.0603	hartree per atom



! PBE-GGA PmTm2O, optimized geometry; values from VASP
&SYSTEM
  ibrav = 0, nat = 4, ntyp = 3
/
ATOMIC_SPECIES
Pm 145.00 Pm.upf
Tm 168.93 Tm.upf
O 16.00 O.upf
ATOMIC_POSITIONS crystal
Pm 0.0000 0.0000 0.0000
Tm 0.5000 0.5000 0.3225
Tm 0.5000 0.5000 0.6775
O 0.0000 0.0000 0.5000
CELL_PARAMETERS angstrom
3.1777 0.0000 0.0000
0.0000 3.1777 0.0000
0.0000 0.0000 8.6500
! DOS at the Fermi energy	4.33	states/eV/cell
! size of the total moment	0.000	μB/atom
! formation energy without anion corrections	-795	meV/atom
! DFT total energy	-0.2006	hartree per atom



! PBE-GGA Er2ThZr, optimized geometry; values from VASP
&SYSTEM
  ibrav = 0, nat = 4, ntyp = 3
/
ATOMIC_SPECIES
Er 167.26 Er.upf
Th 232.04 Th.upf
Zr 91.22 Zr.upf
ATOMIC_POSITIONS crystal
Er 0.2454 0.2454 0.2454
Er 0.7546 0.7546 0.7546
Th 0.0000 0.0000 0.0000
Zr 0.5000 0.5000 0.5000
CELL_PARAMETERS angstrom
1.7165 0.9910 11.2611
-1.7165 0.9910 11.2611
0.0000 -1.9820 11.2611
! DOS at the Fermi energy	6.40	states/eV/cell
! size of the total moment	0.000	μB/atom
! energy of formation	0.09	eV/atom
! DFT total energy	-0.2274	hartree per atom